(1)
Computed, not measured: Sr2BeOs after structural relaxation at the PBE level of DFT.

Cell: 4.452 4.452 20.253 Å, 90.00 90.00 90.00°
Atoms (fractional coordinates):
Sr1 0.245 0.250 0.125
Sr2 0.250 0.745 0.375
Sr3 0.250 0.755 0.875
Sr4 0.255 0.250 0.625
Sr5 0.745 0.750 0.625
Sr6 0.750 0.245 0.875
Sr7 0.750 0.255 0.375
Sr8 0.755 0.750 0.125
Be1 0.000 0.000 0.500
Be2 0.000 0.500 0.750
Be3 0.500 0.000 0.250
Be4 0.500 0.500 0.000
Os1 0.000 0.000 0.000
Os2 0.000 0.500 0.250
Os3 0.500 0.000 0.750
Os4 0.500 0.500 0.500

Properties
- Mass density: 6.2 g/cm³
- DOS(E_F): 15.1 states/eV per cell
- Energy relative to the elements: 1.45 eV/atom
- Raw total energy: -3.13 eV/atom
- Symmetry: No. 122

=====

(2)
Computed, not measured: YSiIr2 after structural relaxation at the PBE level of DFT.

Cell: 5.554 5.554 15.285 Å, 90.00 90.00 120.00°
Atoms (fractional coordinates):
Y1 0.333 0.667 0.039
Y2 0.333 0.667 0.250
Y3 0.333 0.667 0.461
Y4 0.667 0.333 0.539
Y5 0.667 0.333 0.750
Y6 0.667 0.333 0.961
Si1 0.000 0.000 0.000
Si2 0.000 0.000 0.250
Si3 0.000 0.000 0.500
Si4 0.000 0.000 0.750
Si5 0.333 0.667 0.750
Si6 0.667 0.333 0.250
Ir1 0.167 0.335 0.630
Ir2 0.167 0.335 0.870
Ir3 0.167 0.833 0.630
Ir4 0.167 0.833 0.870
Ir5 0.335 0.167 0.130
Ir6 0.335 0.167 0.370
Ir7 0.665 0.833 0.630
Ir8 0.665 0.833 0.870
Ir9 0.833 0.167 0.130
Ir10 0.833 0.167 0.370
Ir11 0.833 0.665 0.130
Ir12 0.833 0.665 0.370

Properties
- Mass density: 12.2 g/cm³
- Energy relative to the elements, uncorrected: -0.97 eV per atom
- DOS(E_F): 10.1 states/eV per cell
- Raw total energy: -8.37 eV/atom
- Symmetry: No. 194